a.
VASP calculation (GGA-PBE) on a geometry-optimized TcNiGe structure.

Structure (POSCAR):
```
TcNiGe
1.0
-0.461 2.626 0.616
-3.586 -0.161 -1.997
0.165 -0.910 4.002
Tc Ni Ge
1 1 1
Direct
0.333 0.333 0.667 Tc
0.834 0.000 0.000 Ni
0.833 0.667 0.333 Ge
```

Computed properties:
- Space group: P-6m2 (187)
- Crystal system: hexagonal

---

b.
VASP calculation (GGA-PBE) on a geometry-optimized TcNiGe structure.

Structure (POSCAR):
```
TcNiGe
1.0
-1.810 -2.049 1.176
1.581 -2.151 -1.314
2.757 1.838 3.679
Ge Ni Tc
1 1 1
Direct
0.940 0.940 0.880 Ge
0.297 0.297 0.594 Ni
0.613 0.613 0.226 Tc
```

Computed properties:
- Space group: I4mm (107)
- Crystal system: tetragonal

---

Which is most stable? The ranking, best first, is a, b.

---

a.
VASP calculation (GGA-PBE) on a geometry-optimized TcNiGe3 structure.

Structure (POSCAR):
```
TcNiGe3
1.0
-0.242 -3.857 2.376
4.530 -0.203 0.133
-0.007 2.379 3.863
Ge Tc Ni
3 1 1
Direct
0.000 0.500 0.000 Ge
0.000 0.000 0.500 Ge
0.500 0.000 0.000 Ge
0.500 0.500 0.500 Tc
0.000 0.000 0.000 Ni
```

Computed properties:
- Space group: Pm-3m (221)
- Crystal system: cubic

---

b.
VASP calculation (GGA-PBE) on a geometry-optimized TcNiGe3 structure.

Structure (POSCAR):
```
TcNiGe3
1.0
4.763 0.000 0.000
0.000 4.763 0.000
0.000 0.000 4.763
Ni Ge Tc
1 3 1
Direct
0.500 0.500 0.500 Ni
0.000 0.000 0.500 Ge
0.000 0.500 0.000 Ge
0.500 0.000 0.000 Ge
0.000 0.000 0.000 Tc
```

Computed properties:
- Space group: Pm-3m (221)
- Crystal system: cubic

---

Which is most stable? The ranking, best first, is b, a.

---

a.
VASP calculation (GGA-PBE) on a geometry-optimized TcNi3Ge structure.

Structure (POSCAR):
```
TcNi3Ge
1.0
-2.343 0.069 3.597
-3.521 -0.925 -2.276
0.739 -4.192 0.561
Tc Ge Ni
1 1 3
Direct
0.500 0.500 0.500 Tc
0.000 0.000 0.000 Ge
0.000 0.000 0.500 Ni
0.500 0.000 0.000 Ni
0.000 0.500 0.000 Ni
```

Computed properties:
- Space group: Pm-3m (221)
- Crystal system: cubic

---

b.
VASP calculation (GGA-PBE) on a geometry-optimized TcNi3Ge structure.

Structure (POSCAR):
```
TcNi3Ge
1.0
4.482 0.000 0.000
0.000 4.482 0.000
0.000 0.000 4.482
Ge Ni Tc
1 3 1
Direct
0.500 0.500 0.500 Ge
0.000 0.000 0.500 Ni
0.000 0.500 0.000 Ni
0.500 0.000 0.000 Ni
0.000 0.000 0.000 Tc
```

Computed properties:
- Space group: Pm-3m (221)
- Crystal system: cubic

---

Which is most stable? The ranking, best first, is a, b.

---

a.
VASP calculation (GGA-PBE) on a geometry-optimized Tc2NiGe2 structure.

Structure (POSCAR):
```
Tc2NiGe2
1.0
6.755 0.000 0.000
0.000 6.755 0.000
0.000 0.000 3.263
Tc Ge Ni
4 4 2
Direct
0.357 0.857 0.000 Tc
0.143 0.357 0.000 Tc
0.643 0.143 0.000 Tc
0.857 0.643 0.000 Tc
0.657 0.843 0.500 Ge
0.157 0.657 0.500 Ge
0.343 0.157 0.500 Ge
0.843 0.343 0.500 Ge
0.500 0.500 0.000 Ni
0.000 0.000 0.000 Ni
```

Computed properties:
- Space group: P4/mbm (127)
- Crystal system: tetragonal

---

b.
VASP calculation (GGA-PBE) on a geometry-optimized Tc2NiGe2 structure.

Structure (POSCAR):
```
Tc2NiGe2
1.0
6.675 0.000 0.000
0.000 6.675 0.000
0.000 0.000 3.247
Tc Ni Ge
4 2 4
Direct
0.653 0.847 0.500 Tc
0.347 0.153 0.500 Tc
0.847 0.347 0.500 Tc
0.153 0.653 0.500 Tc
0.500 0.500 0.000 Ni
0.000 0.000 0.000 Ni
0.853 0.647 0.000 Ge
0.647 0.147 0.000 Ge
0.147 0.353 0.000 Ge
0.353 0.853 0.000 Ge
```

Computed properties:
- Space group: P4/mbm (127)
- Crystal system: tetragonal

---

Which is most stable? The ranking, best first, is b, a.

---

a.
VASP calculation (GGA-PBE) on a geometry-optimized Tc2NiGe4 structure.

Structure (POSCAR):
```
Tc2NiGe4
1.0
-1.239 -1.073 2.793
4.044 -3.847 0.315
2.056 6.423 1.502
Ge Tc Ni
4 2 1
Direct
0.103 0.745 0.206 Ge
0.388 0.703 0.777 Ge
0.612 0.297 0.223 Ge
0.897 0.255 0.794 Ge
0.249 0.240 0.498 Tc
0.751 0.760 0.502 Tc
0.000 0.000 0.000 Ni
```

Computed properties:
- Space group: C2/m (12)
- Crystal system: monoclinic

---

b.
VASP calculation (GGA-PBE) on a geometry-optimized Tc2NiGe4 structure.

Structure (POSCAR):
```
Tc2NiGe4
1.0
4.568 0.000 0.000
0.000 4.568 0.000
2.284 2.284 6.171
Ge Tc Ni
4 2 1
Direct
0.808 0.808 0.384 Ge
0.000 0.500 0.000 Ge
0.500 0.000 0.000 Ge
0.192 0.192 0.616 Ge
0.606 0.606 0.788 Tc
0.394 0.394 0.212 Tc
0.000 0.000 0.000 Ni
```

Computed properties:
- Space group: I4/mmm (139)
- Crystal system: tetragonal

---

Which is most stable? The ranking, best first, is a, b.

---

a.
VASP calculation (GGA-PBE) on a geometry-optimized Ni2GeTe structure.

Structure (POSCAR):
```
Ni2GeTe
1.0
-4.317 0.798 -0.395
-0.865 -3.293 2.800
-2.234 3.510 6.906
Ni Te Ge
4 2 2
Direct
0.875 0.826 0.750 Ni
0.576 0.125 0.250 Ni
0.174 0.625 0.250 Ni
0.375 0.424 0.750 Ni
0.000 0.000 0.000 Te
0.750 0.250 0.500 Te
0.500 0.500 0.000 Ge
0.250 0.750 0.500 Ge
```

Computed properties:
- Space group: I-42d (122)
- Crystal system: tetragonal

---

b.
VASP calculation (GGA-PBE) on a geometry-optimized Ni2GeTe structure.

Structure (POSCAR):
```
Ni2GeTe
1.0
0.336 0.404 4.436
-3.636 0.867 2.446
-1.702 -3.154 2.666
Te Ni Ge
1 2 1
Direct
0.500 0.500 0.500 Te
0.750 0.750 0.750 Ni
0.250 0.250 0.250 Ni
0.000 0.000 0.000 Ge
```

Computed properties:
- Space group: Fm-3m (225)
- Crystal system: cubic

---

Which is most stable? The ranking, best first, is a, b.

---

a.
VASP calculation (GGA-PBE) on a geometry-optimized ThNi4Ge2 structure.

Structure (POSCAR):
```
ThNi4Ge2
1.0
-0.628 1.344 3.792
1.388 -2.139 3.174
6.707 3.518 2.049
Ni Th Ge
4 1 2
Direct
0.560 0.560 0.321 Ni
0.440 0.440 0.679 Ni
0.141 0.141 0.578 Ni
0.859 0.859 0.422 Ni
0.000 0.000 0.000 Th
0.246 0.246 0.262 Ge
0.754 0.754 0.738 Ge
```

Computed properties:
- Space group: R-3m (166)
- Crystal system: trigonal

---

b.
VASP calculation (GGA-PBE) on a geometry-optimized ThNi4Ge2 structure.

Structure (POSCAR):
```
ThNi4Ge2
1.0
4.129 0.000 0.000
0.000 6.326 0.000
0.000 0.000 16.374
Ni Th Ge
16 4 8
Direct
0.750 0.794 0.802 Ni
0.250 0.807 0.189 Ni
0.250 0.021 0.933 Ni
0.750 0.706 0.302 Ni
0.250 0.294 0.698 Ni
0.250 0.136 0.524 Ni
0.250 0.479 0.433 Ni
0.750 0.193 0.811 Ni
0.750 0.979 0.067 Ni
0.750 0.864 0.476 Ni
0.250 0.206 0.198 Ni
0.750 0.636 0.976 Ni
0.250 0.364 0.024 Ni
0.250 0.693 0.689 Ni
0.750 0.307 0.311 Ni
0.750 0.521 0.567 Ni
0.250 0.993 0.360 Th
0.750 0.493 0.140 Th
0.750 0.007 0.640 Th
0.250 0.507 0.860 Th
0.250 0.766 0.040 Ge
0.750 0.009 0.214 Ge
0.750 0.491 0.714 Ge
0.750 0.234 0.960 Ge
0.250 0.734 0.540 Ge
0.250 0.991 0.786 Ge
0.250 0.509 0.286 Ge
0.750 0.266 0.460 Ge
```

Computed properties:
- Space group: Pnma (62)
- Crystal system: orthorhombic

---

Which is most stable? The ranking, best first, is a, b.

---

a.
VASP calculation (GGA-PBE) on a geometry-optimized TiNi4Ge structure.

Structure (POSCAR):
```
TiNi4Ge
1.0
-2.151 3.913 -0.644
-1.882 -5.518 0.730
-1.581 -0.019 7.456
Ge Ti Ni
2 2 8
Direct
0.500 0.500 0.000 Ge
0.000 0.500 0.500 Ge
0.750 0.000 0.750 Ti
0.250 0.000 0.250 Ti
0.252 0.000 0.583 Ni
0.000 0.500 0.167 Ni
0.000 0.500 0.833 Ni
0.748 0.000 0.417 Ni
0.752 0.000 0.083 Ni
0.500 0.500 0.666 Ni
0.500 0.500 0.334 Ni
0.248 0.000 0.917 Ni
```

Computed properties:
- Space group: C2/m (12)
- Crystal system: monoclinic

---

b.
VASP calculation (GGA-PBE) on a geometry-optimized TiNi4Ge structure.

Structure (POSCAR):
```
TiNi4Ge
1.0
-3.788 2.297 -1.625
-3.142 -2.250 -2.708
-4.284 -1.014 1.701
Ti Ni Ge
1 4 1
Direct
0.250 0.250 0.250 Ti
0.625 0.625 0.625 Ni
0.126 0.625 0.625 Ni
0.625 0.625 0.126 Ni
0.625 0.126 0.625 Ni
0.000 0.000 0.000 Ge
```

Computed properties:
- Space group: F-43m (216)
- Crystal system: cubic

---

Which is most stable? The ranking, best first, is a, b.